Record 1
The following is a GGA-PBE calculation of an optimized crystal structure of Dy12Au3O5, from the Alexandria database.

Values from the calculation:
Total DFT energy (no corrections) = -6.15 eV/atom

a b c (Å): 13.282 13.282 13.282
angles (deg): 109.47 109.47 109.47
Fractional positions:
Au 0.750 0.375 0.125
Au 0.875 0.750 0.125
Au 0.375 0.750 0.625
Au 0.250 0.125 0.375
Au 0.875 0.125 0.250
Au 0.375 0.625 0.250
Au 0.625 0.375 0.750
Au 0.125 0.875 0.750
Au 0.750 0.875 0.625
Au 0.625 0.250 0.375
Au 0.125 0.250 0.875
Au 0.250 0.625 0.875
O 0.125 0.375 0.250
O 0.000 0.500 0.000
O 0.000 0.000 0.000
O 0.375 0.250 0.125
O 0.500 0.000 0.500
O 0.500 0.500 0.000
O 0.125 0.750 0.375
O 0.750 0.125 0.875
O 0.750 0.625 0.375
O 0.375 0.125 0.750
O 0.625 0.875 0.250
O 0.500 0.500 0.500
O 0.500 0.000 0.000
O 0.000 0.000 0.500
O 0.250 0.375 0.625
O 0.250 0.875 0.125
O 0.000 0.500 0.500
O 0.875 0.250 0.625
O 0.625 0.750 0.875
O 0.875 0.625 0.750
Dy 0.703 0.112 0.016
Dy 0.313 0.516 0.404
Dy 0.984 0.388 0.297
Dy 0.516 0.203 0.112
Dy 0.590 0.703 0.687
Dy 0.984 0.596 0.187
Dy 0.313 0.797 0.410
Dy 0.096 0.910 0.112
Dy 0.596 0.984 0.687
Dy 0.703 0.590 0.187
Dy 0.797 0.484 0.388
Dy 0.813 0.904 0.016
Dy 0.112 0.703 0.516
Dy 0.388 0.404 0.090
Dy 0.090 0.904 0.388
Dy 0.410 0.112 0.596
Dy 0.090 0.187 0.203
Dy 0.484 0.687 0.096
Dy 0.813 0.910 0.297
Dy 0.112 0.410 0.096
Dy 0.388 0.984 0.797
Dy 0.596 0.612 0.410
Dy 0.904 0.813 0.516
Dy 0.797 0.313 0.910
Dy 0.404 0.388 0.590
Dy 0.096 0.187 0.484
Dy 0.203 0.687 0.090
Dy 0.187 0.090 0.703
Dy 0.612 0.016 0.203
Dy 0.888 0.590 0.904
Dy 0.516 0.313 0.904
Dy 0.590 0.888 0.404
Dy 0.910 0.813 0.797
Dy 0.910 0.096 0.612
Dy 0.888 0.297 0.484
Dy 0.187 0.096 0.984
Dy 0.612 0.596 0.910
Dy 0.404 0.016 0.313
Dy 0.297 0.410 0.813
Dy 0.203 0.516 0.612
Dy 0.904 0.090 0.888
Dy 0.687 0.203 0.590
Dy 0.484 0.797 0.888
Dy 0.016 0.404 0.813
Dy 0.410 0.297 0.313
Dy 0.016 0.612 0.703
Dy 0.687 0.484 0.596
Dy 0.297 0.888 0.984

Record 2
The following is a GGA-PBE calculation of an optimized crystal structure of Bi3Pb4, from the Alexandria database.

Values from the calculation:
ΔE to the lowest computed polymorph = 0 meV per atom

a b c (Å): 7.185 8.881 8.881
angles (deg): 113.01 105.64 105.64
Fractional positions:
Bi 0.111 0.609 0.872
Bi 0.238 0.128 0.737
Bi 0.501 0.263 0.391
Bi 0.889 0.391 0.128
Bi 0.762 0.872 0.263
Bi 0.499 0.737 0.609
Pb 0.500 0.000 0.000
Pb 0.000 0.000 0.000
Pb 0.909 0.686 0.541
Pb 0.368 0.459 0.145
Pb 0.223 0.855 0.314
Pb 0.091 0.314 0.459
Pb 0.632 0.541 0.855
Pb 0.777 0.145 0.686

Record 3
The following is a GGA-PBE calculation of an optimized crystal structure of NaLiCO3, from the Alexandria database.

Values from the calculation:
ΔE to the lowest computed polymorph = 9 meV per atom

a b c (Å): 8.406 8.406 3.410
angles (deg): 90.00 90.00 120.00
Fractional positions:
Na 0.349 0.349 0.500
Na 0.000 0.651 0.500
Na 0.651 0.000 0.500
Li 0.714 0.714 0.000
Li 0.286 0.000 0.000
Li 0.000 0.286 0.000
C 0.667 0.333 0.000
C 0.333 0.667 0.000
C 0.000 0.000 0.500
O 0.845 0.845 0.500
O 0.236 0.747 0.000
O 0.488 0.253 0.000
O 0.155 0.000 0.500
O 0.000 0.155 0.500
O 0.747 0.236 0.000
O 0.512 0.764 0.000
O 0.253 0.488 0.000
O 0.764 0.512 0.000

no.,mass density (g/cm3)
1,9.65
2,10.62
3,2.15